Below is a relaxed structure of Ti3CBr, with properties calculated at the GGA-PBE level.

The structure belongs to space group Pm-3m (No. 221); the cell edges are 4.289, 4.289 and 4.289 Å and the angles 90.00°, 90.00° and 90.00°. The inequivalent atoms are Ti at (0.000, 0.000, 0.500), C at (0.000, 0.000, 0.000) and Br at (0.500, 0.500, 0.500).

The total energy is -6.89 eV per atom. The excess energy over the best structure of this formula in the dataset is 0.00 eV per formula unit. The magnetic moment comes out at 2.31 μB/cell. As for the raw formation energy: 2.52 kJ/mol of atoms. For the volume, the calculation gives 15.8 A^3/atom. The calculation puts the density of states at the Fermi level at 9.34 states/eV/cell.



Below is a relaxed structure of TiC3Br, with properties calculated at the GGA-PBE level.

The structure belongs to space group Pm-3m (No. 221); the cell edges are 4.202, 4.202 and 4.202 Å and the angles 90.00°, 90.00° and 90.00°. The inequivalent atoms are Ti at (0.000, 0.000, 0.000), C at (0.000, 0.000, 0.500) and Br at (0.500, 0.500, 0.500).

The total energy is -5.14 eV per atom. The excess energy over the best structure of this formula in the dataset is 0.00 eV per formula unit. The magnetic moment comes out at 0.00 μB/cell. As for the raw formation energy: 222.72 kJ/mol of atoms. For the volume, the calculation gives 14.8 A^3/atom. The calculation puts the density of states at the Fermi level at 4.39 states/eV/cell.



Below is a relaxed structure of TiCBr2, with properties calculated at the GGA-PBE level.

The structure belongs to space group R-3m (No. 166, hexagonal axes); the cell edges are 3.3474, 3.3474 and 24.8952 Å and the angles 90.00°, 90.00° and 120.00°. The inequivalent atoms are Ti at (0.0000, 0.0000, 0.0000), C at (0.0000, 0.0000, 0.5000) and Br at (0.0000, 0.0000, 0.4041).

The total energy is -4.10 eV per atom. The excess energy over the best structure of this formula in the dataset is 3.01 eV per formula unit. The magnetic moment comes out at 0.00 μB/cell. As for the raw formation energy: 97.76 kJ/mol of atoms. For the volume, the calculation gives 20.1 A^3/atom. The calculation puts the density of states at the Fermi level at 8.40 states/eV/cell.



Below is a relaxed structure of TiCBr2, with properties calculated at the GGA-PBE level.

The structure belongs to space group I-42d (No. 122); the cell edges are 9.795, 9.795 and 3.970 Å and the angles 90.00°, 90.00° and 90.00°. The inequivalent atoms are Ti at (0.000, 0.000, 0.000), C at (0.000, 0.000, 0.500) and Br at (0.084, 0.250, 0.125).

The total energy is -4.86 eV per atom. The excess energy over the best structure of this formula in the dataset is 0.00 eV per formula unit. The magnetic moment comes out at 2.40 μB/cell. As for the raw formation energy: 25.19 kJ/mol of atoms. For the volume, the calculation gives 23.8 A^3/atom. The calculation puts the density of states at the Fermi level at 12.77 states/eV/cell.



Below is a relaxed structure of TiCBr2, with properties calculated at the GGA-PBE level.

The structure belongs to space group Fm-3m (No. 225); the cell edges are 6.469, 6.469 and 6.469 Å and the angles 90.00°, 90.00° and 90.00°. The inequivalent atoms are Ti at (0.000, 0.000, 0.000), C at (0.000, 0.000, 0.500) and Br at (0.250, 0.250, 0.250).

The total energy is -3.94 eV per atom. The excess energy over the best structure of this formula in the dataset is 3.65 eV per formula unit. The magnetic moment comes out at 1.09 μB/cell. As for the raw formation energy: 113.21 kJ/mol of atoms. For the volume, the calculation gives 16.9 A^3/atom. The calculation puts the density of states at the Fermi level at 12.31 states/eV/cell.



Below is a relaxed structure of TiC3Br, with properties calculated at the GGA-PBE level.

The structure belongs to space group Pm-3m (No. 221); the cell edges are 3.888, 3.888 and 3.888 Å and the angles 90.00°, 90.00° and 90.00°. The inequivalent atoms are Ti at (0.000, 0.000, 0.000), C at (0.000, 0.500, 0.500) and Br at (0.500, 0.500, 0.500).

The total energy is -4.44 eV per atom. The excess energy over the best structure of this formula in the dataset is 3.49 eV per formula unit. The magnetic moment comes out at 0.00 μB/cell. As for the raw formation energy: 290.08 kJ/mol of atoms. For the volume, the calculation gives 11.8 A^3/atom. The calculation puts the density of states at the Fermi level at 3.65 states/eV/cell.



Below is a relaxed structure of ZrTiC2Br, with properties calculated at the GGA-PBE level.

The structure belongs to space group P4/mmm (No. 123); the cell edges are 4.028, 4.028 and 5.453 Å and the angles 90.00°, 90.00° and 90.00°. The inequivalent atoms are Zr at (0.000, 0.000, 0.000), Ti at (0.000, 0.000, 0.500), C at (0.000, 0.500, 0.500) and Br at (0.500, 0.500, 0.000).

The total energy is -6.14 eV per atom. The magnetic moment comes out at 0.00 μB/cell. As for the raw formation energy: 113.32 kJ/mol of atoms. For the volume, the calculation gives 17.7 A^3/atom. The calculation puts the density of states at the Fermi level at 3.18 states/eV/cell.



Below is a relaxed structure of Tl3CBr, with properties calculated at the GGA-PBE level.

The structure belongs to space group Pm-3m (No. 221); the cell edges are 5.215, 5.215 and 5.215 Å and the angles 90.00°, 90.00° and 90.00°. The inequivalent atoms are Tl at (0.000, 0.000, 0.500), C at (0.000, 0.000, 0.000) and Br at (0.500, 0.500, 0.500).

The total energy is -3.02 eV per atom. The excess energy over the best structure of this formula in the dataset is 0.00 eV per formula unit. The magnetic moment comes out at 0.00 μB/cell. As for the raw formation energy: 55.57 kJ/mol of atoms. For the volume, the calculation gives 28.4 A^3/atom. The calculation puts the density of states at the Fermi level at 1.29 states/eV/cell.



Below is a relaxed structure of TlCBr2, with properties calculated at the GGA-PBE level.

The structure belongs to space group R-3m (No. 166, hexagonal axes); the cell edges are 4.8281, 4.8281 and 24.5812 Å and the angles 90.00°, 90.00° and 120.00°. The inequivalent atoms are Tl at (0.0000, 0.0000, 0.0000), C at (0.0000, 0.0000, 0.5000) and Br at (0.0000, 0.0000, 0.4076).

The total energy is -2.62 eV per atom. The excess energy over the best structure of this formula in the dataset is 0.75 eV per formula unit. The magnetic moment comes out at 3.00 μB/cell. As for the raw formation energy: 107.19 kJ/mol of atoms. For the volume, the calculation gives 41.4 A^3/atom. The calculation puts the density of states at the Fermi level at 21.51 states/eV/cell.



Below is a relaxed structure of TlC3Br, with properties calculated at the GGA-PBE level.

The structure belongs to space group Pm-3m (No. 221); the cell edges are 4.580, 4.580 and 4.580 Å and the angles 90.00°, 90.00° and 90.00°. The inequivalent atoms are Tl at (0.000, 0.000, 0.000), C at (0.000, 0.000, 0.500) and Br at (0.500, 0.500, 0.500).

The total energy is -2.80 eV per atom. The excess energy over the best structure of this formula in the dataset is 0.71 eV per formula unit. The magnetic moment comes out at 3.58 μB/cell. As for the raw formation energy: 341.50 kJ/mol of atoms. For the volume, the calculation gives 19.2 A^3/atom. The calculation puts the density of states at the Fermi level at 4.24 states/eV/cell.



Below is a relaxed structure of TlCBr2, with properties calculated at the GGA-PBE level.

The structure belongs to space group I-42d (No. 122); the cell edges are 7.045, 7.045 and 10.014 Å and the angles 90.00°, 90.00° and 90.00°. The inequivalent atoms are Tl at (0.000, 0.000, 0.000), C at (0.000, 0.000, 0.500) and Br at (0.001, 0.250, 0.625).

The total energy is -2.81 eV per atom. The excess energy over the best structure of this formula in the dataset is 0.00 eV per formula unit. The magnetic moment comes out at 3.17 μB/cell. As for the raw formation energy: 89.09 kJ/mol of atoms. For the volume, the calculation gives 31.1 A^3/atom. The calculation puts the density of states at the Fermi level at 10.46 states/eV/cell.



Below is a relaxed structure of TlCBr2, with properties calculated at the GGA-PBE level.

The structure belongs to space group Fm-3m (No. 225); the cell edges are 7.462, 7.462 and 7.462 Å and the angles 90.00°, 90.00° and 90.00°. The inequivalent atoms are Tl at (0.000, 0.000, 0.000), C at (0.000, 0.000, 0.500) and Br at (0.250, 0.250, 0.250).

The total energy is -2.33 eV per atom. The excess energy over the best structure of this formula in the dataset is 1.90 eV per formula unit. The magnetic moment comes out at 4.00 μB/cell. As for the raw formation energy: 134.99 kJ/mol of atoms. For the volume, the calculation gives 26.0 A^3/atom. The calculation puts the density of states at the Fermi level at 19.28 states/eV/cell.



> Which of these has the lowest raw formation energy?

Ti3CBr